TbCe3 | PBE | optimized geometry

Results
distance to the lowest polymorph of the same formula: 0.00 eV/f.u.
formation energy from the elements: 0.101 eV/atom
Fermi-level density of states: 12.036 states/eV/f.u.

```
data_TbCe3
_cell_length_a 4.8043
_cell_length_b 4.8043
_cell_length_c 9.7724
_cell_angle_alpha 90.00
_cell_angle_beta 90.00
_cell_angle_gamma 90.00
_space_group_name_H-M_alt 'I 4/m m m'
_space_group_IT_number 139
_space_group_name_Hall '-I 4 2'
loop_
_atom_site_label
_atom_site_fract_x
_atom_site_fract_y
_atom_site_fract_z
Tb1 0.0000 0.0000 0.0000
Ce1 0.0000 0.0000 0.5000
Ce2 0.0000 0.5000 0.2500
```